Entry 1:
Entry from Alexandria via LeMat-Bulk: a geometry-optimized Y8HoEr5 structure (PBE-GGA).

## Properties
Density of states at the Fermi level (states/eV/atom): 1.572
E (eV per atom): -5.397
E_form (eV/f.u.): 3.6

The structure in POSCAR format:
```
Y8HoEr5
1.0
-6.7496 4.9710 -0.8085
-1.8071 -7.9236 -2.2074
2.3237 0.4245 8.0834
Y Er Ho
8 5 1
Cartesian
-2.2751 -4.9999 -1.1303
-4.5906 1.7631 1.5566
-4.0015 -2.0837 0.4385
-4.8408 4.1673 4.4033
-1.7690 -0.1967 2.5998
-3.5812 -4.0268 4.2623
-3.0728 0.5811 6.0118
-0.8012 -5.3167 2.1282
-2.2130 2.6978 3.6375
-5.0728 -1.0268 3.6171
-0.4994 -2.3069 0.3642
-7.0275 -2.7503 -1.1927
0.1336 1.0279 7.3465
-0.8482 -2.4006 4.7568
```



Entry 2:
Entry from Alexandria via LeMat-Bulk: a geometry-optimized Y3Ho6Er structure (PBE-GGA).

## Properties
Density of states at the Fermi level (states/eV/atom): 1.515
Polymorph energy (0 for the lowest one) (eV per atom): 0.010
E (eV per atom): -5.000
E_form (eV/f.u.): 1.4

The structure in POSCAR format:
```
Y3Ho6Er
1.0
-1.4098 1.5103 -5.7812
-10.5225 -2.3014 1.9648
3.7487 10.1399 1.7348
Ho Y Er
12 6 2
Cartesian
-4.5756 6.6000 -0.6240
1.7507 10.9394 -3.6174
-2.9915 2.0882 1.0709
-10.4354 -1.0539 -0.5190
0.7998 5.1352 -1.2164
-2.5781 9.0439 0.6284
-1.1930 7.5818 -1.8934
-2.3463 4.0203 -1.8415
-6.6772 1.4312 1.0970
-5.9226 0.6444 -4.0101
-9.3004 4.5532 -2.1653
-5.2207 4.6679 2.2884
-3.3490 0.6712 -1.9956
-5.7495 3.4167 -1.4111
-1.9221 5.3836 1.4292
-5.4219 9.3066 -2.4941
-7.8207 5.8457 0.4466
-0.9502 4.1321 -4.9363
-8.4566 1.2703 -1.8202
0.5651 7.7656 0.9364
```



Entry 3:
Entry from Alexandria via LeMat-Bulk: a geometry-optimized YHo7Er4 structure (PBE-GGA).

## Properties
Density of states at the Fermi level (states/eV/atom): 1.687
Polymorph energy (0 for the lowest one) (eV per atom): 0.207
E (eV per atom): -4.433
E_form (eV/f.u.): 3.6

The structure in POSCAR format:
```
YHo7Er4
1.0
-1.4752 0.7029 -5.5776
-1.1433 -10.6508 -4.0680
-6.5240 0.3664 -1.2565
Ho Er Y
7 4 1
Cartesian
-3.0247 -4.7644 -5.8568
-6.9248 -2.5146 -7.5699
-5.4953 -9.0984 -8.7777
-0.7376 0.3515 -2.7888
-2.2176 -7.0670 -3.3322
-6.1178 -4.8171 -5.0453
-3.6471 -0.4832 -2.1245
-4.6479 -7.8130 -5.8116
-4.4945 -1.7686 -5.0905
-7.2164 -6.4701 -7.9912
-1.9260 -3.1114 -2.9109
0.0000 0.0000 0.0000
```



Entry 4:
Entry from Alexandria via LeMat-Bulk: a geometry-optimized YHo7Er2 structure (PBE-GGA).

## Properties
Density of states at the Fermi level (states/eV/atom): 1.330
Polymorph energy (0 for the lowest one) (eV per atom): 0.680
E (eV per atom): -4.061
E_form (eV/f.u.): 7.0

The structure in POSCAR format:
```
YHo7Er2
1.0
-1.5499 -1.5123 -4.8595
6.2663 -7.0131 0.1840
-8.8859 -0.6131 3.0249
Ho Er Y
7 2 1
Cartesian
-1.2404 -7.7401 -0.1078
0.4479 -2.8249 -2.1760
-5.8325 -1.9028 2.4524
-2.9291 -1.3985 -1.5428
3.2129 -5.7234 0.7564
-4.6174 -6.3137 0.5253
-2.0847 -4.5693 -0.8253
0.9771 -5.8625 -1.3994
-5.1466 -3.2760 -0.2512
0.0000 0.0000 0.0000
```



Entry 5:
Entry from Alexandria via LeMat-Bulk: a geometry-optimized Y5HoEr4 structure (PBE-GGA).

## Properties
Density of states at the Fermi level (states/eV/atom): 1.523
E (eV per atom): -5.202
E_form (eV/f.u.): 3.1

The structure in POSCAR format:
```
Y5HoEr4
1.0
-3.3312 2.6292 -4.6324
3.3936 -0.6118 -7.0478
-5.0662 -4.9248 -3.4120
Er Y Ho
4 5 1
Cartesian
-3.5372 -2.6371 -7.0544
-1.3393 -1.8735 -3.9414
-3.3370 -1.2925 -10.6952
-1.1391 -0.5289 -7.5823
-4.0184 -0.0337 -5.2436
-2.2571 1.7814 -3.1387
-6.0195 -2.6034 -9.5232
1.3330 -0.5545 -5.1275
-0.6680 -3.1243 -9.4071
-0.7327 0.5783 -1.0189
```



Entry 6:
Entry from Alexandria via LeMat-Bulk: a geometry-optimized YHoErZn structure (PBE-GGA).

## Properties
Density of states at the Fermi level (states/eV/atom): 1.065
E (eV per atom): -4.382
E_form (eV/f.u.): -0.7

The structure in POSCAR format:
```
YHoErZn
1.0
-0.4986 -2.8665 -2.0392
2.8524 -1.5348 1.4600
-4.9710 -3.4582 6.0765
Y Ho Er Zn
1 1 1 1
Cartesian
-2.6898 -4.8906 4.4371
-0.3721 -0.2588 0.4548
-0.6370 -3.4626 1.9278
-2.8189 -1.9611 3.4458
```



Entry 7:
Entry from Alexandria via LeMat-Bulk: a geometry-optimized Y6Ho3Er2Zr structure (PBE-GGA).

## Properties
Density of states at the Fermi level (states/eV/atom): 1.347
E (eV per atom): -5.800
E_form (eV/f.u.): 0.6

The structure in POSCAR format:
```
Y6Ho3Er2Zr
1.0
-3.0048 5.2760 0.3421
-2.7957 -5.1856 1.5086
5.3990 1.2492 10.2355
Ho Y Er Zr
3 6 2 1
Cartesian
-0.2705 4.1572 5.6543
-0.2008 0.6698 6.0431
-0.1311 -2.8176 6.4320
2.6559 0.9665 8.1919
-0.2668 -0.7004 9.3196
-0.0664 -1.3845 3.1485
-3.0575 0.3731 3.8943
-0.1348 2.0400 2.7666
-0.3352 2.7241 8.9377
-2.9352 1.7912 0.7307
-2.8654 -1.7008 1.1200
0.0000 0.0000 0.0000
```



Entry 8:
Entry from Alexandria via LeMat-Bulk: a geometry-optimized Y3Ho2Er6Zr structure (PBE-GGA).

## Properties
Density of states at the Fermi level (states/eV/atom): 1.312
E (eV per atom): -5.328
E_form (eV/f.u.): 0.5

The structure in POSCAR format:
```
Y3Ho2Er6Zr
1.0
-5.1400 -1.2980 -2.9137
4.7480 -3.7208 -0.4541
-3.5574 -4.1536 10.2096
Zr Ho Y Er
1 2 3 6
Cartesian
0.0000 0.0000 0.0000
1.4532 -2.9134 -1.2737
-1.8452 -2.1053 -2.0941
-5.2712 -3.7784 2.6009
-1.9747 -4.5861 3.4209
1.3219 -5.3939 4.2409
-1.1597 -4.7933 -0.0593
-2.5776 -1.8404 1.2595
-4.6044 -6.5398 4.7782
-2.7896 -4.3790 6.9010
-1.3717 -7.3319 5.5823
0.6550 -2.6324 2.0636
```